Record 1
The following is a PBE-GGA calculation of an optimized crystal structure of Dy3Ni2B2C3, from Alexandria.

a = 3.582 Å, b = 3.582 Å, c = 20.356 Å
α = 90.00°, β = 90.00°, γ = 90.00°
Space group I4/mmm (No. 139)
Symmetry-distinct sites (fractional):
Dy1 0.000 0.000 0.000 (multiplicity 2)
Dy2 0.000 0.000 0.377 (multiplicity 4)
Ni1 0.000 0.500 0.250 (multiplicity 4)
B1 0.000 0.000 0.197 (multiplicity 4)
C1 0.000 0.000 0.123 (multiplicity 4)
C2 0.000 0.000 0.500 (multiplicity 2)

* final energy: -7.059 eV/atom
* formation enthalpy at 0 K: -4.2 eV per formula unit

Record 2
The following is a PBE-GGA calculation of an optimized crystal structure of DyBOsC, from Alexandria.

a = 3.678 Å, b = 3.678 Å, c = 8.005 Å
α = 90.00°, β = 90.00°, γ = 90.00°
Space group P4/nmm (No. 129, origin choice 2)
Symmetry-distinct sites (fractional):
Dy1 0.250 0.250 0.159 (multiplicity 2)
B1 0.250 0.250 0.670 (multiplicity 2)
Os1 0.250 0.750 0.500 (multiplicity 2)
C1 0.250 0.250 0.859 (multiplicity 2)

* final energy: -8.190 eV/atom
* formation enthalpy at 0 K: -1.0 eV per formula unit

Record 3
The following is a PBE-GGA calculation of an optimized crystal structure of DyBOs2C, from Alexandria.

a = 3.627 Å, b = 10.803 Å, c = 6.987 Å
α = 90.00°, β = 90.00°, γ = 90.00°
Space group Cmcm (No. 63)
Symmetry-distinct sites (fractional):
Dy1 0.000 0.048 0.250 (multiplicity 4)
B1 0.000 0.227 0.750 (multiplicity 4)
Os1 0.000 0.328 0.064 (multiplicity 8)
C1 0.000 0.500 0.000 (multiplicity 4)

* final energy: -8.869 eV/atom
* formation enthalpy at 0 K: -1.4 eV per formula unit

Record 4
The following is a PBE-GGA calculation of an optimized crystal structure of DyBRu2C, from Alexandria.

a = 3.554 Å, b = 10.806 Å, c = 7.029 Å
α = 90.00°, β = 90.00°, γ = 90.00°
Space group Cmcm (No. 63)
Symmetry-distinct sites (fractional):
Dy1 0.000 0.050 0.250 (multiplicity 4)
B1 0.000 0.224 0.750 (multiplicity 4)
Ru1 0.000 0.330 0.065 (multiplicity 8)
C1 0.000 0.500 0.000 (multiplicity 4)

* final energy: -8.137 eV/atom
* formation enthalpy at 0 K: -1.6 eV per formula unit